Sc2TlIn: relaxed, PBE.

Output
M_tot = 0.000 μB per atom
crystal system = trigonal
raw total energy = -4.6854 eV per atom
energy above the lowest structure with this stoichiometry = 100 meV/atom
mass density = 6.9 g cm⁻³
energy of formation = -0.2435 eV per atom

Lattice parameters (Å, degrees): 9.7934 9.7934 9.7934 20.18 20.18 20.18
With the nearest neighbours (Å) after each atom.
Fractional positions:
In1 0.7500 0.7500 0.7500  6 Sc 3.08, 6 In 3.43
Tl1 0.2500 0.2500 0.2500  6 Sc 3.14, 6 Tl 3.43
Sc1 0.0012 0.0012 0.0012  3 In 3.08, 3 Tl 3.14, 6 Sc 3.43
Sc2 0.4988 0.4988 0.4988  3 In 3.08, 3 Tl 3.14, 6 Sc 3.43

Sc2TlIn: relaxed, PBE.

Output
M_tot = 0.219 μB per atom
crystal system = orthorhombic
raw total energy = -4.7850 eV per atom
energy above the lowest structure with this stoichiometry = 1 meV/atom
mass density = 7.4 g cm⁻³
energy of formation = -0.3430 eV per atom

Lattice parameters (Å, degrees): 5.4311 5.4311 3.2350 89.99 89.99 106.50
With the nearest neighbours (Å) after each atom.
Fractional positions:
In1 0.0000 0.5000 0.5000  8 Sc 3.16, 2 In 3.23, 2 Tl 3.25
Sc1 0.5000 0.5000 0.0000  4 In 3.16, 4 Tl 3.16, 4 Sc 3.23-3.25
Tl1 0.5000 0.0000 0.5000  8 Sc 3.16, 2 Tl 3.23, 2 In 3.25
Sc2 0.0000 0.0000 0.0000  4 Tl 3.16, 4 In 3.16, 4 Sc 3.23-3.25

Sc7TlIn4: relaxed, PBE.

Output
M_tot = 0.170 μB per atom
crystal system = monoclinic
raw total energy = -4.8902 eV per atom
mass density = 5.3 g cm⁻³
energy of formation = -0.0868 eV per atom

Lattice parameters (Å, degrees): 5.4016 8.8944 7.2738 81.46 68.20 72.32
With the nearest neighbours (Å) after each atom.
Fractional positions:
Tl1 0.0000 0.0000 0.0000  4 Sc 2.70-3.00
Sc1 0.2126 0.1309 0.4440  4 In 3.00-3.12, 2 Sc 3.06-3.24
In1 0.7060 0.6615 0.9265  8 Sc 2.93-3.22, 1 In 3.13
In2 0.2940 0.3385 0.0735  8 Sc 2.93-3.22, 1 In 3.13
Sc2 0.3454 0.5855 0.7238  5 In 2.89-3.15, 1 Sc 3.23
In3 0.4314 0.7770 0.3602  8 Sc 2.89-3.15, 1 In 3.13
Sc3 0.5000 0.0000 0.0000  2 Tl 2.70, 4 In 2.93-3.02
Sc4 0.0711 0.6723 0.1855  5 In 2.96-3.22, 1 Tl 3.00, 2 Sc 3.06-3.23
Sc5 0.9289 0.3277 0.8145  5 In 2.96-3.22, 1 Tl 3.00, 2 Sc 3.06-3.23
In4 0.5686 0.2230 0.6398  8 Sc 2.89-3.15, 1 In 3.13
Sc6 0.6546 0.4145 0.2762  5 In 2.89-3.15, 1 Sc 3.23
Sc7 0.7874 0.8691 0.5560  4 In 3.00-3.12, 2 Sc 3.06-3.24

Sc2TlIn: relaxed, PBE.

Output
M_tot = 0.000 μB per atom
crystal system = cubic
raw total energy = -4.7654 eV per atom
energy above the lowest structure with this stoichiometry = 20 meV/atom
mass density = 7.4 g cm⁻³
energy of formation = -0.3235 eV per atom

Lattice parameters (Å, degrees): 5.0697 5.0697 5.0697 60.00 60.00 60.00
With the nearest neighbours (Å) after each atom.
Fractional positions:
Sc1 0.2500 0.2500 0.2500  4 Tl 3.10, 4 In 3.10
Sc2 0.7500 0.7500 0.7500  4 Tl 3.10, 4 In 3.10
Tl1 0.5000 0.5000 0.5000  8 Sc 3.10
In1 0.0000 0.0000 0.0000  8 Sc 3.10

Sc9TlIn2: relaxed, PBE.

Output
M_tot = 0.403 μB per atom
crystal system = tetragonal
raw total energy = -5.6634 eV per atom
mass density = 5.0 g cm⁻³
energy of formation = -0.2611 eV per atom

Lattice parameters (Å, degrees): 4.5220 4.5220 13.5681 90.00 90.00 90.00
With the nearest neighbours (Å) after each atom.
Fractional positions:
Sc1 0.5000 0.0000 0.8325  8 Sc 3.19-3.21, 2 In 3.19, 2 Tl 3.21
Sc2 0.0000 0.5000 0.5000  4 In 3.20, 8 Sc 3.20
Tl1 0.0000 0.0000 0.0000  12 Sc 3.20-3.21
Sc3 0.5000 0.5000 0.0000  4 Tl 3.20, 8 Sc 3.21
Sc4 0.0000 0.5000 0.1675  8 Sc 3.19-3.21, 2 In 3.19, 2 Tl 3.21
In1 0.0000 0.0000 0.3335  12 Sc 3.19-3.20
In2 0.0000 0.0000 0.6665  12 Sc 3.19-3.20
Sc5 0.0000 0.5000 0.8325  8 Sc 3.19-3.21, 2 In 3.19, 2 Tl 3.21
Sc6 0.5000 0.5000 0.3334  8 Sc 3.19-3.20, 4 In 3.20
Sc7 0.5000 0.5000 0.6666  8 Sc 3.19-3.20, 4 In 3.20
Sc8 0.5000 0.0000 0.5000  4 In 3.20, 8 Sc 3.20
Sc9 0.5000 0.0000 0.1675  8 Sc 3.19-3.21, 2 In 3.19, 2 Tl 3.21

Sc12Tl5In2: relaxed, PBE.

Output
M_tot = 0.000 μB per atom
crystal system = monoclinic
raw total energy = -5.0252 eV per atom
mass density = 6.3 g cm⁻³
energy of formation = -0.1153 eV per atom

Lattice parameters (Å, degrees): 9.0879 7.8431 8.0709 88.24 90.00 125.41
With the nearest neighbours (Å) after each atom.
Fractional positions:
Tl1 0.7653 0.5306 0.4449  4 Sc 2.80-3.07, 1 Tl 3.05
Sc1 0.6753 0.7078 0.7598  1 In 2.92, 3 Tl 3.02-3.26, 2 Sc 3.06-3.25
In1 0.2889 0.0000 0.0000  6 Sc 2.92-3.14, 2 Tl 3.07
Sc2 0.9674 0.2922 0.2402  1 In 2.92, 3 Tl 3.02-3.26, 2 Sc 3.06-3.25
Sc3 0.3247 0.2922 0.2402  1 In 2.92, 3 Tl 3.02-3.26, 2 Sc 3.06-3.25
Sc4 0.0917 0.1835 0.8685  2 In 3.05, 3 Tl 3.06-3.33, 3 Sc 3.10-3.41
Sc5 0.2024 0.8014 0.3833  4 Sc 2.99-3.30, 3 Tl 3.07-3.27, 1 In 3.30
Sc6 0.4226 0.8452 0.7228  2 Tl 2.80-3.04, 4 Sc 2.99-3.06, 2 In 3.14
Sc7 0.5774 0.1548 0.2772  2 Tl 2.80-3.04, 4 Sc 2.99-3.06, 2 In 3.14
Tl2 0.0000 0.0000 0.5000  2 Tl 3.05, 10 Sc 3.18-3.24
Sc8 0.5990 0.8014 0.3833  4 Sc 2.99-3.30, 3 Tl 3.07-3.27, 1 In 3.30
Sc9 0.0326 0.7078 0.7598  1 In 2.92, 3 Tl 3.02-3.26, 2 Sc 3.06-3.25
Sc10 0.9083 0.8165 0.1315  2 In 3.05, 3 Tl 3.06-3.33, 3 Sc 3.10-3.41
Tl3 0.3157 0.6314 0.0652  6 Sc 3.02-3.35, 2 In 3.07
In2 0.7111 0.0000 0.0000  6 Sc 2.92-3.14, 2 Tl 3.07
Tl4 0.6843 0.3686 0.9348  6 Sc 3.02-3.35, 2 In 3.07
Tl5 0.2347 0.4694 0.5551  4 Sc 2.80-3.07, 1 Tl 3.05
Sc11 0.4010 0.1986 0.6167  4 Sc 2.99-3.30, 3 Tl 3.07-3.27, 1 In 3.30
Sc12 0.7976 0.1986 0.6167  4 Sc 2.99-3.30, 3 Tl 3.07-3.27, 1 In 3.30

Sc2TlIn: relaxed, PBE.

Output
M_tot = 0.000 μB per atom
crystal system = tetragonal
raw total energy = -4.7701 eV per atom
energy above the lowest structure with this stoichiometry = 16 meV/atom
mass density = 7.4 g cm⁻³
energy of formation = -0.3282 eV per atom

Lattice parameters (Å, degrees): 5.0974 3.5433 5.0985 90.00 90.00 90.00
With the nearest neighbours (Å) after each atom.
Fractional positions:
Sc1 0.5000 0.1251 0.3749  4 Tl 3.10, 4 In 3.10
Sc2 0.0000 0.1250 0.8751  4 In 3.10, 4 Tl 3.10
Tl1 0.0000 0.6250 0.3751  8 Sc 3.10
In1 0.5000 0.6249 0.8749  8 Sc 3.10

ScTlIn: relaxed, PBE.

Output
M_tot = 0.000 μB per atom
crystal system = trigonal
raw total energy = -3.8061 eV per atom
energy above the lowest structure with this stoichiometry = 157 meV/atom
mass density = 7.3 g cm⁻³
energy of formation = 0.0060 eV per atom

Lattice parameters (Å, degrees): 4.9225 4.9225 8.4340 73.03 73.03 60.00
With the nearest neighbours (Å) after each atom.
Fractional positions:
Tl1 0.3794 0.3794 0.8617  4 Sc 2.95-3.00
In1 0.1274 0.1274 0.6179  4 Sc 3.00-3.06
Sc1 0.7466 0.7466 0.7601  4 Tl 2.95-3.00, 4 In 3.00-3.06
Sc2 0.2534 0.2534 0.2399  4 Tl 2.95-3.00, 4 In 3.00-3.06
In2 0.8726 0.8726 0.3821  4 Sc 3.00-3.06
Tl2 0.6206 0.6206 0.1383  4 Sc 2.95-3.00